*one*
A plane-wave DFT calculation with GGA-PBE was carried out for a relaxed Ce2GdCd crystal.

Geometry as extended XYZ:
```
4
Lattice="3.329 0.000 0.000 0.000 3.329 0.000 0.000 0.000 10.196" Properties=species:S:1:pos:R:3 pbc="T T T"
Ce 0.000 0.000 2.409
Ce 0.000 0.000 7.788
Cd 1.664 1.664 0.000
Gd 1.664 1.664 5.098
```

Computed properties:
V (A^3/atom): 28.24
SG: P4/mmm, No. 123

=====

*two*
A plane-wave DFT calculation with GGA-PBE was carried out for a relaxed Ce2GdCd crystal.

Geometry as extended XYZ:
```
4
Lattice="3.318 0.000 0.000 1.659 2.873 0.000 1.659 0.958 12.429" Properties=species:S:1:pos:R:3 pbc="T T T"
Ce 1.659 0.958 9.126
Ce 4.977 2.873 3.303
Gd 3.318 1.916 6.215
Cd 0.000 0.000 0.000
```

Computed properties:
V (A^3/atom): 29.62
SG: R-3m, No. 166

=====

*three*
A plane-wave DFT calculation with GGA-PBE was carried out for a relaxed Ce2GdCd crystal.

Geometry as extended XYZ:
```
4
Lattice="5.473 0.000 0.000 2.736 4.739 0.000 2.736 1.580 4.468" Properties=species:S:1:pos:R:3 pbc="T T T"
Ce 8.209 4.739 3.351
Ce 2.736 1.580 1.117
Gd 0.000 0.000 0.000
Cd 5.473 3.160 2.234
```

Computed properties:
V (A^3/atom): 28.97
SG: Fm-3m, No. 225

=====

Stability verdict: *one*, ahead by 0.064 eV/atom

=====

*one*
A plane-wave DFT calculation with GGA-PBE was carried out for a relaxed CeCdGe2 crystal.

Geometry as extended XYZ:
```
4
Lattice="3.678 0.000 0.000 0.000 3.678 0.000 0.000 0.000 6.608" Properties=species:S:1:pos:R:3 pbc="T T T"
Ce 1.839 1.839 3.304
Ge 0.000 0.000 5.234
Ge 0.000 0.000 1.374
Cd 1.839 1.839 0.000
```

Computed properties:
V (A^3/atom): 22.35
SG: P4/mmm, No. 123

=====

*two*
A plane-wave DFT calculation with GGA-PBE was carried out for a relaxed CeCdGe2 crystal.

Geometry as extended XYZ:
```
4
Lattice="4.149 0.000 0.000 0.000 4.574 0.000 0.000 0.000 4.574" Properties=species:S:1:pos:R:3 pbc="T T T"
Cd 2.074 2.287 2.287
Ge 0.000 2.287 0.000
Ge 0.000 0.000 2.287
Ce 2.074 0.000 0.000
```

Computed properties:
V (A^3/atom): 21.70
SG: P4/mmm, No. 123

=====

Stability verdict: *two*, ahead by 0.280 eV/atom

=====

*one*
A plane-wave DFT calculation with GGA-PBE was carried out for a relaxed CeCdGe2 crystal.

Geometry as extended XYZ:
```
4
Lattice="-2.403 2.477 -3.435 -2.332 -2.391 -3.543 -7.257 -0.140 1.525" Properties=species:S:1:pos:R:3 pbc="T T T"
Ce -5.996 -0.027 -2.727
Ge -6.898 0.021 -5.511
Ge -5.094 -0.076 0.058
Cd 0.000 0.000 0.000
```

Computed properties:
V (A^3/atom): 35.23
SG: R-3m, No. 166

=====

*two*
A plane-wave DFT calculation with GGA-PBE was carried out for a relaxed CeCdGe2 crystal.

Geometry as extended XYZ:
```
8
Lattice="4.168 0.000 -0.847 -0.172 4.165 -0.847 -0.112 -0.117 10.128" Properties=species:S:1:pos:R:3 pbc="T T T"
Ge 2.084 0.000 -0.424
Ge 2.528 2.635 1.761
Ge 1.356 1.413 6.672
Ge -0.086 2.082 -0.424
Ce 0.411 0.428 2.022
Ce 3.474 3.620 6.412
Cd 3.027 0.983 4.217
Cd 0.857 3.065 4.217
```

Computed properties:
V (A^3/atom): 21.88
SG: I4/mmm, No. 139

=====

Stability verdict: *two*, ahead by 0.670 eV/atom

=====

*one*
A plane-wave DFT calculation with GGA-PBE was carried out for a relaxed CeCd2Ge crystal.

Geometry as extended XYZ:
```
4
Lattice="-2.558 0.454 1.658 0.042 -0.441 3.049 2.139 11.086 3.131" Properties=species:S:1:pos:R:3 pbc="T T T"
Ce 0.000 0.000 0.000
Cd -1.678 3.129 5.147
Cd 1.302 7.969 2.692
Ge -0.188 5.549 3.919
```

Computed properties:
V (A^3/atom): 23.81
SG: R-3m, No. 166

=====

*two*
A plane-wave DFT calculation with GGA-PBE was carried out for a relaxed CeCd2Ge crystal.

Geometry as extended XYZ:
```
4
Lattice="5.068 0.000 0.000 0.000 4.319 0.000 0.000 0.000 4.319" Properties=species:S:1:pos:R:3 pbc="T T T"
Cd 0.000 2.160 0.000
Cd 0.000 0.000 2.160
Ce 2.534 0.000 0.000
Ge 2.534 2.160 2.160
```

Computed properties:
V (A^3/atom): 23.64
SG: P4/mmm, No. 123

=====

Stability verdict: *two*, ahead by 0.581 eV/atom